HgP2H2 GGA-PBE optimized geometry; space-group type = No. 139; excess energy over the best structure of this formula in the dataset = 0.070 eV per atom
1.0
-1.647 1.647 7.077
1.647 -1.647 7.077
1.647 1.647 -7.077
Hg P H
1 2 2
Cartesian
0.000 0.000 0.000
1.647 0.000 3.539
0.000 1.647 3.539
0.000 0.000 4.863
0.000 0.000 9.291

***

AcDy4Ho5 GGA-PBE optimized geometry; space-group type = No. 79; excess energy over the best structure of this formula in the dataset = 0.126 eV per atom
1.0
-5.125 5.125 3.206
5.125 -5.125 3.206
5.125 5.125 -3.206
Ac Dy Ho
1 4 5
Cartesian
0.000 0.000 0.000
6.624 -0.572 1.414
3.627 0.572 1.414
-0.572 3.627 1.414
0.572 6.624 1.414
0.000 0.000 2.994
6.624 2.665 1.350
2.665 3.627 1.350
2.461 1.499 4.556
-1.499 2.461 4.556

***

Pu3MnSb GGA-PBE optimized geometry; space-group type = No. 221; formation energy without anion corrections = -0.159 eV/atom
1.0
4.976 0.000 0.000
0.000 4.976 0.000
0.000 0.000 4.976
Pu Mn Sb
3 1 1
Cartesian
0.000 0.000 2.488
0.000 2.488 0.000
2.488 0.000 0.000
0.000 0.000 0.000
2.488 2.488 2.488

***

KRb2PtW GGA-PBE optimized geometry; E = -15.34 eV for the cell shown; space-group type = No. 123
1.0
6.366 0.000 0.000
0.000 6.366 0.000
0.000 0.000 6.134
K Rb Pt W
1 2 1 1
Cartesian
0.000 0.000 0.000
0.000 3.183 3.067
3.183 0.000 3.067
0.000 0.000 3.067
3.183 3.183 0.000

***

One value per record, in order, for magnetic moment: 0.00 0.00 15.17 5.00 Bohr magnetons per cell.
One value per record, in order, for ρ: 5.7 8.4 12.2 3.9 Mg/m³.